Record 1
Be3Zn2Mo2 after structural relaxation. Source: the Open Quantum Materials Database, functional PBE.

Calculated values
space-group type: R3m
DFT total energy: -4.76 eV per atom

Unit cell a=6.783 b=6.783 c=6.783 alpha=33.87 beta=33.87 gamma=33.87
Element x y z (fractional)
Be1 0.373 0.373 0.373
Be2 0.623 0.623 0.623
Be3 0.878 0.878 0.878
Mo1 0.007 0.007 0.007
Mo2 0.494 0.494 0.494
Zn1 0.246 0.246 0.246
Zn2 0.753 0.753 0.753

***

Record 2
NaZr after structural relaxation. Source: the Open Quantum Materials Database, functional PBE.

Calculated values
energy relative to the lowest polymorph listed for this composition: 0.2760 eV per atom
space-group type: Pmmn

Unit cell a=11.808 b=6.376 c=5.389 alpha=90.00 beta=90.00 gamma=90.00
Element x y z (fractional)
Na1 0.756 0.250 0.000
Na2 0.008 0.500 0.000
Na3 0.499 0.500 0.000
Na4 0.756 0.750 0.000
Na5 0.168 0.000 0.500
Na6 0.659 0.000 0.500
Na7 0.910 0.250 0.500
Na8 0.910 0.750 0.500
Zr1 0.052 0.000 0.000
Zr2 0.487 0.000 0.000
Zr3 0.264 0.241 0.000
Zr4 0.264 0.759 0.000
Zr5 0.402 0.259 0.500
Zr6 0.180 0.500 0.500
Zr7 0.614 0.500 0.500
Zr8 0.402 0.741 0.500

***

Number 1: total magnetization 0.25 μB/atom. Number 2: total magnetization 0.00 μB/atom.